# PdRuSN2

A relaxed PdRuSN2 crystal (PBE-GGA, Alexandria via LeMat-Bulk).

Properties
Raw formation energy, eV per atom: 1.84
E_tot, eV for the cell shown: -26.05

a b c (Å): 3.8423 3.8423 5.1500
angles (deg): 90.00 90.00 90.00
Closest atoms and distances in Å follow each position.
Sites, in units of the cell vectors:
N (0.5000, 0.0000, 0.0000)  2 Pd 1.92
N (0.0000, 0.5000, 0.0000)  2 Pd 1.92
S (0.0000, 0.0000, 0.5000)  2 Pd 2.57, 4 Ru 2.72
Pd (0.0000, 0.0000, 0.0000)  4 N 1.92
Ru (0.5000, 0.5000, 0.5000)  4 S 2.72

# Pr2ErTlC

A relaxed Pr2ErTlC crystal (PBE-GGA, Alexandria via LeMat-Bulk).

Properties
E_tot, eV for the cell shown: -27.25
Formation enthalpy at 0 K, eV/f.u.: -1.5

a b c (Å): 4.8781 5.1956 5.1956
angles (deg): 90.00 90.00 90.00
Closest atoms and distances in Å follow each position.
Sites, in units of the cell vectors:
Er (0.5000, 0.0000, 0.0000)  2 C 2.44
Tl (0.5000, 0.5000, 0.5000)  8 Pr 3.56, 4 Er 3.67
Pr (0.0000, 0.5000, 0.0000)  2 C 2.60
Pr (0.0000, 0.0000, 0.5000)  2 C 2.60
C (0.0000, 0.0000, 0.0000)  2 Er 2.44, 4 Pr 2.60

# CrGa2Ni7Ge2

A relaxed CrGa2Ni7Ge2 crystal (PBE-GGA, Alexandria via LeMat-Bulk).

Properties
E_tot, eV for the cell shown: -65.89
Formation enthalpy at 0 K, eV/f.u.: -0.5

a b c (Å): 3.4329 3.4329 13.8565
angles (deg): 82.73 82.73 90.01
Closest atoms and distances in Å follow each position.
Sites, in units of the cell vectors:
Ga (0.6330, 0.6330, 0.7379)  5 Ni 2.46-2.48
Ga (0.3670, 0.3670, 0.2621)  5 Ni 2.46-2.48
Ge (0.8083, 0.8083, 0.3834)  5 Ni 2.37-2.56
Ge (0.1917, 0.1917, 0.6166)  5 Ni 2.37-2.56
Ni (0.2776, 0.2776, 0.4428)  5 Ge 2.37-2.56, 1 Ga 2.46
Ni (0.5000, 0.5000, 0.0000)  4 Cr 2.43, 8 Ni 2.48
Ni (0.4326, 0.9327, 0.1311)  6 Ni 2.43-2.48, 2 Ga 2.47-2.48, 2 Cr 2.48
Ni (0.5674, 0.0673, 0.8689)  6 Ni 2.43-2.48, 2 Ga 2.47-2.48, 2 Cr 2.48
Ni (0.0673, 0.5674, 0.8689)  6 Ni 2.43-2.48, 2 Ga 2.47-2.48, 2 Cr 2.48
Ni (0.7224, 0.7224, 0.5572)  5 Ge 2.37-2.56, 1 Ga 2.46
Ni (0.9327, 0.4326, 0.1311)  6 Ni 2.43-2.48, 2 Ga 2.47-2.48, 2 Cr 2.48
Cr (0.0000, 0.0000, 0.0000)  12 Ni 2.43-2.48

# BaIn2Ge

A relaxed BaIn2Ge crystal (PBE-GGA, Alexandria via LeMat-Bulk).

Properties
E_tot, eV for the cell shown: -26.78
Formation enthalpy at 0 K, eV/f.u.: -1.4

a b c (Å): 4.8937 5.2421 10.0162
angles (deg): 105.17 90.00 90.00
Closest atoms and distances in Å follow each position.
Sites, in units of the cell vectors:
Ge (0.7500, 0.3236, 0.6473)  5 In 2.72-2.94
Ge (0.2500, 0.6764, 0.3527)  5 In 2.72-2.94
In (0.2500, 0.5356, 0.0713)  1 Ge 2.72, 2 In 2.81
In (0.7500, 0.4644, 0.9287)  1 Ge 2.72, 2 In 2.81
In (0.7500, 0.7553, 0.5105)  4 Ge 2.88-2.94
In (0.2500, 0.2447, 0.4895)  4 Ge 2.88-2.94
Ba (0.2500, 0.8938, 0.7876)  10 In 3.63-3.90, 4 Ge 3.83
Ba (0.7500, 0.1062, 0.2124)  10 In 3.63-3.90, 4 Ge 3.83

# Ca3Pa3NiN8

A relaxed Ca3Pa3NiN8 crystal (PBE-GGA, Alexandria via LeMat-Bulk).

Properties
Raw formation energy, eV per atom: -1.05
E_tot, eV for the cell shown: -122.61

a b c (Å): 6.9296 6.8679 6.9408
angles (deg): 120.16 90.00 120.30
Closest atoms and distances in Å follow each position.
Sites, in units of the cell vectors:
N (0.7645, 0.0366, 0.2967)  2 Pa 2.24-2.30, 1 Ni 2.34
N (0.2721, 0.0366, 0.2967)  2 Pa 2.24-2.30, 1 Ni 2.34
N (0.7816, 0.5632, 0.3103)  1 Ni 2.12, 2 Pa 2.33
N (0.2582, 0.5164, 0.2734)  3 Pa 2.33-2.38, 3 Ca 2.49-2.53
N (0.7279, 0.9634, 0.7033)  2 Pa 2.24-2.30, 1 Ni 2.34
N (0.2184, 0.4368, 0.6897)  1 Ni 2.12, 2 Pa 2.33
N (0.2355, 0.9634, 0.7033)  2 Pa 2.24-2.30, 1 Ni 2.34
N (0.7418, 0.4836, 0.7266)  3 Pa 2.33-2.38, 3 Ca 2.49-2.53
Pa (0.5000, 0.5000, 0.5000)  6 N 2.24-2.38
Pa (0.5000, 0.0000, 0.5000)  6 N 2.30-2.33
Pa (0.0000, 0.5000, 0.5000)  6 N 2.24-2.38
Ca (0.5000, 0.5000, 0.0000)  6 N 2.53-2.62
Ca (0.0000, 0.0000, 0.0000)  6 N 2.49-2.62
Ca (0.0000, 0.5000, 0.0000)  6 N 2.53-2.62
Ni (0.0000, 0.0000, 0.5000)  6 N 2.12-2.34

# MnCo2CuC

A relaxed MnCo2CuC crystal (PBE-GGA, Alexandria via LeMat-Bulk).

Properties
E_tot, eV for the cell shown: -36.14
Formation enthalpy at 0 K, eV/f.u.: 0.6

a b c (Å): 3.7289 3.7289 3.8507
angles (deg): 90.00 90.00 90.00
Closest atoms and distances in Å follow each position.
Sites, in units of the cell vectors:
Co (0.0000, 0.5000, 0.0000)  2 C 1.86
Co (0.5000, 0.0000, 0.0000)  2 C 1.86
Mn (0.0000, 0.0000, 0.5000)  2 C 1.93
Cu (0.5000, 0.5000, 0.5000)  4 Mn 2.64, 8 Co 2.68
C (0.0000, 0.0000, 0.0000)  4 Co 1.86, 2 Mn 1.93

# TiCoSn3

A relaxed TiCoSn3 crystal (PBE-GGA, Alexandria via LeMat-Bulk).

Properties
E_tot, eV for the cell shown: -22.83
Formation enthalpy at 0 K, eV/f.u.: 4.2

a b c (Å): 5.2317 5.2317 5.2317
angles (deg): 90.00 90.00 90.00
Closest atoms and distances in Å follow each position.
Sites, in units of the cell vectors:
Co (0.5000, 0.5000, 0.5000)  12 Sn 3.70
Sn (0.0000, 0.0000, 0.5000)  2 Ti 2.62
Sn (0.0000, 0.5000, 0.0000)  2 Ti 2.62
Sn (0.5000, 0.0000, 0.0000)  2 Ti 2.62
Ti (0.0000, 0.0000, 0.0000)  6 Sn 2.62

# HfCdPd2C

A relaxed HfCdPd2C crystal (PBE-GGA, Alexandria via LeMat-Bulk).

Properties
E_tot, eV for the cell shown: -19.07
Formation enthalpy at 0 K, eV/f.u.: 11.4

a b c (Å): 4.8027 5.3175 4.8027
angles (deg): 90.00 90.00 90.00
Closest atoms and distances in Å follow each position.
Sites, in units of the cell vectors:
Pd (0.5000, 0.0000, 0.0000)  2 Cd 2.40
Pd (0.0000, 0.0000, 0.5000)  2 Cd 2.40
C (0.5000, 0.5000, 0.5000)  4 Hf 3.40, 8 Pd 3.58
Cd (0.0000, 0.0000, 0.0000)  4 Pd 2.40, 2 Hf 2.66
Hf (0.0000, 0.5000, 0.0000)  2 Cd 2.66